1.
Tl6AsO12: relaxed, GGA-PBE.

Lattice parameters (Å, degrees): 9.7675 9.7675 9.6127 90.00 90.00 120.00
Closest atoms and distances in Å follow each position.
Space group R-3 (No. 148, hexagonal axes)
One atom of each set of equivalent atoms:
Tl (0.0487, 0.2611, 0.1534) [18 per cell]  2 O 2.15-2.18
As (0.0000, 0.0000, 0.5000) [3 per cell]  6 O 1.88
O (0.0245, 0.2266, 0.9011) [18 per cell]  2 Tl 2.15-2.17
O (0.0412, 0.1775, 0.3928) [18 per cell]  1 As 1.88

## Properties
Total magnetic moment   3.548 μB/cell
Calculated volume   794 Å³/cell
Electronic total energy   -4.820 eV/atom

---

2.
TlAs2O: relaxed, GGA-PBE.

Lattice parameters (Å, degrees): 6.6226 6.6226 6.6226 90.00 90.00 90.00
Closest atoms and distances in Å follow each position.
Space group Fm-3m (No. 225)
One atom of each set of equivalent atoms:
Tl (0.0000, 0.0000, 0.0000) [4 per cell]  8 As 2.87
As (0.2500, 0.2500, 0.2500) [8 per cell]  4 Tl 2.87, 4 O 2.87
O (0.0000, 0.0000, 0.5000) [4 per cell]  8 As 2.87

## Properties
Total magnetic moment   0.000 μB/cell
Energy above the most stable polymorph in this dataset   0.653 eV/atom
Calculated volume   290 Å³/cell
Electronic total energy   -3.570 eV/atom

---

3.
TlAsO3: relaxed, GGA-PBE.

Lattice parameters (Å, degrees): 4.1851 4.1851 4.1851 90.00 90.00 90.00
Closest atoms and distances in Å follow each position.
Space group Pm-3m (No. 221)
One atom of each set of equivalent atoms:
Tl (0.0000, 0.0000, 0.0000) [1 per cell]  6 O 2.09
As (0.5000, 0.5000, 0.5000) [1 per cell]  12 O 2.96
O (0.0000, 0.0000, 0.5000) [3 per cell]  2 Tl 2.09

## Properties
Total magnetic moment   0.000 μB/cell
Calculated volume   73 Å³/cell
Electronic total energy   -3.982 eV/atom

---

4.
TlAsO2: relaxed, GGA-PBE.

Lattice parameters (Å, degrees): 5.7786 5.7786 9.6005 90.00 90.00 90.00
Closest atoms and distances in Å follow each position.
Space group I-42d (No. 122)
One atom of each set of equivalent atoms:
Tl (0.0000, 0.0000, 0.0000) [4 per cell]  4 O 2.86
As (0.0000, 0.0000, 0.5000) [4 per cell]  4 O 2.02
O (0.1267, 0.2500, 0.6250) [8 per cell]  2 As 2.02

## Properties
Total magnetic moment   0.000 μB/cell
Energy above the most stable polymorph in this dataset   0.356 eV/atom
Calculated volume   321 Å³/cell
Electronic total energy   -4.917 eV/atom

---

5.
TlAsO3: relaxed, GGA-PBE.

Lattice parameters (Å, degrees): 3.9025 3.9025 3.9025 90.00 90.00 90.00
Closest atoms and distances in Å follow each position.
Space group Pm-3m (No. 221)
One atom of each set of equivalent atoms:
Tl (0.0000, 0.0000, 0.0000) [1 per cell]  12 O 2.76
As (0.5000, 0.5000, 0.5000) [1 per cell]  6 O 1.95
O (0.0000, 0.5000, 0.5000) [3 per cell]  2 As 1.95

## Properties
Total magnetic moment   0.000 μB/cell
Calculated volume   59 Å³/cell
Electronic total energy   -5.070 eV/atom

---

6.
TlAsO2: relaxed, GGA-PBE.

Lattice parameters (Å, degrees): 6.2650 4.4995 13.1114 90.00 110.22 90.00
Closest atoms and distances in Å follow each position.
Space group P2/c (No. 13)
One atom of each set of equivalent atoms:
Tl (0.1357, 0.2268, 0.1341) [4 per cell]  3 O 2.57-2.70
As (0.3695, 0.3091, 0.9134) [4 per cell]  3 O 1.75-1.94
O (0.1092, 0.2741, 0.9346) [4 per cell]  1 As 1.75
O (0.4244, 0.2717, 0.4454) [4 per cell]  2 As 1.86-1.94

## Properties
Total magnetic moment   0.000 μB/cell
Energy above the most stable polymorph in this dataset   0.000 eV/atom
Calculated volume   347 Å³/cell
Electronic total energy   -5.273 eV/atom

---

The uncorrected formation energy results, record by record, are as follows: -0.70; 0.59; 0.40; -0.68; -0.69; -1.04 eV per atom.